CsK2HgO2: relaxed, PBE-GGA.

Properties
Formation energy (no corrections), kJ per mole of atoms: -80.8
Volume, A^3/atom: 28.7
Total energy, eV per atom: -3.0490
Symmetry: No. 58
D(E_F), states/eV/f.u.: 2.141
Size of the total moment, μB/f.u.: 0.00

Cell: 6.342 12.164 4.468 Å, 90.00 90.00 90.00°
Sites, in units of the cell vectors:
Cs1 0.000 0.000 0.000
Cs2 0.500 0.500 0.500
K1 0.067 0.273 0.500
K2 0.433 0.773 0.000
K3 0.567 0.227 0.000
K4 0.933 0.727 0.500
Hg1 0.000 0.500 0.000
Hg2 0.500 0.000 0.500
O1 0.226 0.368 0.000
O2 0.274 0.868 0.500
O3 0.726 0.132 0.500
O4 0.774 0.632 0.000